Record 1
Material: Na2B4O7
Method: DFT, GGA-PBEsol
State: optimized geometry

Unit cell a=7.6730 b=7.6730 c=21.4176 alpha=90.00 beta=90.00 gamma=120.00
With the nearest neighbours (Å) after each atom.
Fractional coordinates of all 117 atoms:
Na  0.0000  0.3236  0.3333  4 O 2.27-2.32
Na  0.0000  0.3699  0.8333  4 O 2.25-2.51
Na  0.0067  0.3540  0.1607  6 O 2.32-2.53
Na  0.0200  0.3140  0.9995  6 O 2.34-2.61
Na  0.2940  0.9800  0.3328  6 O 2.34-2.61
Na  0.3140  0.0200  0.0005  6 O 2.34-2.61
Na  0.3236  0.0000  0.6667  4 O 2.27-2.32
Na  0.3472  0.9933  0.4941  6 O 2.32-2.53
Na  0.3540  0.0067  0.8393  6 O 2.32-2.53
Na  0.3699  0.0000  0.1667  4 O 2.25-2.51
Na  0.6301  0.6301  0.5000  4 O 2.25-2.51
Na  0.6460  0.6528  0.8274  6 O 2.32-2.53
Na  0.6528  0.6460  0.1726  6 O 2.32-2.53
Na  0.6764  0.6764  0.0000  4 O 2.27-2.32
Na  0.6860  0.7060  0.6662  6 O 2.34-2.61
Na  0.7060  0.6860  0.3338  6 O 2.34-2.61
Na  0.9800  0.2940  0.6672  6 O 2.34-2.61
Na  0.9933  0.3472  0.5059  6 O 2.32-2.53
B  0.0035  0.0148  0.5637  4 O 1.44-1.50
B  0.0073  0.6535  0.4288  3 O 1.37-1.39
B  0.0113  0.9965  0.8970  4 O 1.44-1.50
B  0.0128  0.6838  0.0843  3 O 1.37-1.38
B  0.0148  0.0035  0.4363  4 O 1.44-1.50
B  0.0146  0.6763  0.9277  3 O 1.38
B  0.3143  0.6508  0.2596  4 O 1.45-1.50
B  0.3162  0.3290  0.7509  3 O 1.37-1.38
B  0.3237  0.3383  0.5944  3 O 1.38
B  0.3239  0.6562  0.3877  4 O 1.45-1.49
B  0.3290  0.3162  0.2491  3 O 1.37-1.38
B  0.3323  0.6761  0.7210  4 O 1.45-1.49
B  0.3365  0.6857  0.5929  4 O 1.45-1.50
B  0.3383  0.3237  0.4056  3 O 1.38
B  0.3438  0.6677  0.0544  4 O 1.45-1.49
B  0.3465  0.3538  0.0954  3 O 1.37-1.39
B  0.3492  0.6635  0.9262  4 O 1.45-1.50
B  0.3538  0.3465  0.9046  3 O 1.37-1.39
B  0.6462  0.9927  0.7621  3 O 1.37-1.39
B  0.6508  0.3143  0.7404  4 O 1.45-1.50
B  0.6535  0.0073  0.5712  3 O 1.37-1.39
B  0.6562  0.3239  0.6123  4 O 1.45-1.49
B  0.6617  0.9854  0.2611  3 O 1.38
B  0.6635  0.3492  0.0738  4 O 1.45-1.50
B  0.6677  0.3438  0.9456  4 O 1.45-1.49
B  0.6710  0.9872  0.4176  3 O 1.37-1.38
B  0.6763  0.0146  0.0723  3 O 1.38
B  0.6761  0.3323  0.2790  4 O 1.45-1.49
B  0.6838  0.0128  0.9157  3 O 1.37-1.38
B  0.6857  0.3365  0.4071  4 O 1.45-1.50
B  0.9854  0.6617  0.7389  3 O 1.38
B  0.9852  0.9887  0.2303  4 O 1.44-1.50
B  0.9872  0.6710  0.5824  3 O 1.37-1.38
B  0.9887  0.9852  0.7697  4 O 1.44-1.50
B  0.9927  0.6462  0.2379  3 O 1.37-1.39
B  0.9965  0.0113  0.1030  4 O 1.44-1.50
O  0.0000  0.9315  0.8333  2 B 1.44
O  0.0502  0.8634  0.7304  2 B 1.38-1.50
O  0.0685  0.0685  0.5000  2 B 1.44
O  0.0788  0.8547  0.4190  2 B 1.37-1.50
O  0.0916  0.8891  0.0884  2 B 1.38-1.48
O  0.1109  0.2025  0.7551  2 B 1.38-1.48
O  0.1125  0.5845  0.7324  2 B 1.38-1.49
O  0.1333  0.6036  0.0716  2 B 1.37-1.48
O  0.1366  0.1869  0.3971  2 B 1.38-1.50
O  0.1394  0.5807  0.4263  2 B 1.38-1.48
O  0.1453  0.2241  0.0857  2 B 1.37-1.50
O  0.1869  0.1366  0.6029  2 B 1.38-1.50
O  0.1891  0.7466  0.5726  2 B 1.37-1.49
O  0.1915  0.7141  0.2217  2 B 1.39-1.50
O  0.2025  0.1109  0.2449  2 B 1.38-1.48
O  0.2151  0.7468  0.9141  2 B 1.38-1.48
O  0.2241  0.1453  0.9143  2 B 1.37-1.50
O  0.2534  0.4425  0.2393  2 B 1.37-1.49
O  0.2532  0.4683  0.5807  2 B 1.38-1.48
O  0.2590  0.6532  0.3239  2 B 1.45
O  0.2859  0.4773  0.8884  2 B 1.39-1.50
O  0.3468  0.6058  0.9906  2 B 1.45
O  0.3942  0.7410  0.6573  2 B 1.45
O  0.3964  0.5297  0.7383  2 B 1.37-1.48
O  0.4155  0.5280  0.3990  2 B 1.38-1.49
O  0.4193  0.5586  0.0930  2 B 1.38-1.48
O  0.4414  0.8606  0.7596  2 B 1.38-1.48
O  0.4425  0.2534  0.7607  2 B 1.37-1.49
O  0.4683  0.2532  0.4193  2 B 1.38-1.48
O  0.4703  0.8667  0.4050  2 B 1.37-1.48
O  0.4720  0.8875  0.0657  2 B 1.38-1.49
O  0.4773  0.2859  0.1116  2 B 1.39-1.50
O  0.5227  0.8085  0.5551  2 B 1.39-1.50
O  0.5280  0.4155  0.6010  2 B 1.38-1.49
O  0.5297  0.3964  0.2617  2 B 1.37-1.48
O  0.5317  0.7849  0.2474  2 B 1.38-1.48
O  0.5575  0.8109  0.9059  2 B 1.37-1.49
O  0.5586  0.4193  0.9070  2 B 1.38-1.48
O  0.5807  0.1394  0.5737  2 B 1.38-1.48
O  0.5845  0.1125  0.2676  2 B 1.38-1.49
O  0.6036  0.1333  0.9284  2 B 1.37-1.48
O  0.6058  0.3468  0.0094  2 B 1.45
O  0.6532  0.2590  0.6761  2 B 1.45
O  0.7141  0.1915  0.7783  2 B 1.39-1.50
O  0.7410  0.3942  0.3427  2 B 1.45
O  0.7466  0.1891  0.4274  2 B 1.37-1.49
O  0.7468  0.2151  0.0859  2 B 1.38-1.48
O  0.7759  0.9212  0.7523  2 B 1.37-1.50
O  0.7849  0.5317  0.7526  2 B 1.38-1.48
O  0.7975  0.9084  0.4217  2 B 1.38-1.48
O  0.8085  0.5227  0.4449  2 B 1.39-1.50
O  0.8109  0.5575  0.0941  2 B 1.37-1.49
O  0.8131  0.9498  0.0637  2 B 1.38-1.50
O  0.8547  0.0788  0.5810  2 B 1.37-1.50
O  0.8606  0.4414  0.2404  2 B 1.38-1.48
O  0.8634  0.0502  0.2696  2 B 1.38-1.50
O  0.8667  0.4703  0.5950  2 B 1.37-1.48
O  0.8875  0.4720  0.9343  2 B 1.38-1.49
O  0.8891  0.0916  0.9116  2 B 1.38-1.48
O  0.9084  0.7975  0.5783  2 B 1.38-1.48
O  0.9212  0.7759  0.2477  2 B 1.37-1.50
O  0.9315  0.0000  0.1667  2 B 1.44
O  0.9498  0.8131  0.9363  2 B 1.38-1.50

* space group: P3_221
* size of the total moment: 0.00 μB/cell
* relative energy among the computed polymorphs: 8 meV per atom
* volume: 1092.01 Å³ per cell

---

Record 2
Material: SrGa2S4
Method: DFT, GGA-PBEsol
State: optimized geometry

Unit cell a=14.5364 b=12.0119 c=11.8601 alpha=75.02 beta=52.96 gamma=52.01
With the nearest neighbours (Å) after each atom.
Fractional coordinates of all 56 atoms:
Sr  0.1232  0.1232  0.6268  8 S 3.07-3.10
Sr  0.1250  0.1250  0.1250  8 S 3.07-3.09
Sr  0.3732  0.3732  0.8768  8 S 3.07-3.10
Sr  0.3750  0.3750  0.3750  8 S 3.08-3.09
Sr  0.6250  0.6250  0.6250  8 S 3.08-3.09
Sr  0.6268  0.6268  0.1232  8 S 3.07-3.10
Sr  0.8750  0.8750  0.8750  8 S 3.07-3.09
Sr  0.8768  0.8768  0.3732  8 S 3.07-3.10
Ga  0.0314  0.4682  0.8606  4 S 2.24-2.30
Ga  0.1109  0.3879  0.3645  4 S 2.24-2.30
Ga  0.1394  0.8601  0.9686  4 S 2.24-2.30
Ga  0.1399  0.8606  0.4682  4 S 2.24-2.30
Ga  0.3633  0.6355  0.6121  4 S 2.24-2.30
Ga  0.3645  0.6367  0.1109  4 S 2.24-2.30
Ga  0.3879  0.1109  0.6367  4 S 2.24-2.30
Ga  0.4682  0.0314  0.1399  4 S 2.24-2.30
Ga  0.5318  0.9686  0.8601  4 S 2.24-2.30
Ga  0.6121  0.8891  0.3633  4 S 2.24-2.30
Ga  0.6355  0.3633  0.8891  4 S 2.24-2.30
Ga  0.6367  0.3645  0.3879  4 S 2.24-2.30
Ga  0.8601  0.1394  0.5318  4 S 2.24-2.30
Ga  0.8606  0.1399  0.0314  4 S 2.24-2.30
Ga  0.8891  0.6121  0.6355  4 S 2.24-2.30
Ga  0.9686  0.5318  0.1394  4 S 2.24-2.30
S  0.0821  0.0846  0.4178  2 Ga 2.29-2.30
S  0.0841  0.5820  0.4153  2 Ga 2.30
S  0.0846  0.0821  0.9155  2 Ga 2.29-2.30
S  0.0845  0.5822  0.9154  2 Ga 2.29-2.30
S  0.1518  0.3461  0.1597  2 Ga 2.24-2.30
S  0.1575  0.8403  0.6539  2 Ga 2.24-2.30
S  0.1597  0.8425  0.1518  2 Ga 2.24-2.30
S  0.1849  0.3128  0.6561  2 Ga 2.24-2.30
S  0.3128  0.1849  0.3462  2 Ga 2.24-2.30
S  0.3439  0.6538  0.8151  2 Ga 2.24-2.30
S  0.3461  0.1518  0.8425  2 Ga 2.24-2.30
S  0.3462  0.6561  0.3128  2 Ga 2.24-2.30
S  0.4153  0.4186  0.0841  2 Ga 2.30
S  0.4178  0.9155  0.0821  2 Ga 2.29-2.30
S  0.4180  0.9159  0.5814  2 Ga 2.30
S  0.4186  0.4153  0.5820  2 Ga 2.30
S  0.5814  0.5847  0.4180  2 Ga 2.30
S  0.5820  0.0841  0.4186  2 Ga 2.30
S  0.5822  0.0845  0.9179  2 Ga 2.29-2.30
S  0.5847  0.5814  0.9159  2 Ga 2.30
S  0.6538  0.3439  0.6872  2 Ga 2.24-2.30
S  0.6539  0.8482  0.1575  2 Ga 2.24-2.30
S  0.6561  0.3462  0.1849  2 Ga 2.24-2.30
S  0.6872  0.8151  0.6538  2 Ga 2.24-2.30
S  0.8151  0.6872  0.3439  2 Ga 2.24-2.30
S  0.8403  0.1575  0.8482  2 Ga 2.24-2.30
S  0.8425  0.1597  0.3461  2 Ga 2.24-2.30
S  0.8482  0.6539  0.8403  2 Ga 2.24-2.30
S  0.9155  0.4178  0.0846  2 Ga 2.29-2.30
S  0.9154  0.9179  0.0845  2 Ga 2.29-2.30
S  0.9159  0.4180  0.5847  2 Ga 2.30
S  0.9179  0.9154  0.5822  2 Ga 2.29-2.30

* space group: Fddd
* size of the total moment: 0.00 μB/cell
* volume: 1282.01 Å³ per cell

---

Record 3
Material: Si2HgRh
Method: DFT, GGA-PBEsol
State: optimized geometry

Unit cell a=4.2051 b=4.2051 c=3.5265 alpha=90.00 beta=90.00 gamma=90.00
With the nearest neighbours (Å) after each atom.
Fractional coordinates of all 4 atoms:
Si  0.0000  0.5000  0.0000  4 Hg 2.74, 4 Rh 2.74, 4 Si 2.97
Si  0.5000  0.0000  0.0000  4 Hg 2.74, 4 Rh 2.74, 4 Si 2.97
Hg  0.0000  0.0000  0.5000  8 Si 2.74, 4 Rh 2.97
Rh  0.5000  0.5000  0.5000  8 Si 2.74, 4 Hg 2.97

* space group: P4/mmm
* size of the total moment: 0.00 μB/cell
* volume: 62.36 Å³ per cell

---

The uncorrected formation energy results, record by record, are as follows: -2384; -1200; 261 meV/atom.